Here is an optimized crystal structure of CdP2Pb from the Alexandria database. Energies are from PBE.

Lattice parameters (Å, degrees): 4.966 4.966 4.966 60.00 60.00 60.00
Element x y z (fractional)
Cd: 0.000 0.000 0.000
P: 0.250 0.250 0.250
P: 0.750 0.750 0.750
Pb: 0.500 0.500 0.500

- Magnetization: 0.00 Bohr magnetons per cell
- Total energy: -3.4066 eV per atom
- Volume: 21.65 A^3/atom


Here is an optimized crystal structure of La2InSiPt6 from the Alexandria database. Energies are from PBE.

Lattice parameters (Å, degrees): 5.629 8.567 8.817 90.00 90.00 90.00
Element x y z (fractional)
La: 0.000 0.268 0.252
La: 0.500 0.732 0.248
La: 0.500 0.732 0.752
La: 0.000 0.268 0.748
Pt: 0.500 0.100 0.747
Pt: 0.500 0.100 0.253
Pt: 0.248 0.994 0.500
Pt: 0.255 0.454 0.500
Pt: 0.752 0.994 0.500
Pt: 0.245 0.546 0.000
Pt: 0.252 0.006 0.000
Pt: 0.748 0.006 0.000
Pt: 0.745 0.454 0.500
Pt: 0.000 0.900 0.753
Pt: 0.755 0.546 0.000
Pt: 0.000 0.900 0.247
Si: 0.500 0.228 0.500
Si: 0.000 0.772 0.000
In: 0.000 0.714 0.500
In: 0.500 0.286 0.000

- Raw formation energy: -9.271 eV/f.u.
- Magnetization: 0.00 Bohr magnetons per cell
- Total energy: -6.3532 eV per atom
- Volume: 21.26 A^3/atom


Here is an optimized crystal structure of Ni2MoPd from the Alexandria database. Energies are from PBE.

Lattice parameters (Å, degrees): 4.139 4.139 4.593 63.22 63.22 60.00
Element x y z (fractional)
Ni: 0.060 0.060 0.820
Ni: 0.266 0.266 0.202
Pd: 0.696 0.696 0.912
Mo: 0.478 0.478 0.565

- Energy above the most stable polymorph in this dataset: 346 meV per atom
- Magnetization: 0.00 Bohr magnetons per cell
- Total energy: -6.5707 eV per atom
- Volume: 14.55 A^3/atom


Here is an optimized crystal structure of Ag2Se from the Alexandria database. Energies are from PBE.

Lattice parameters (Å, degrees): 5.560 5.560 5.560 60.00 60.00 60.00
Element x y z (fractional)
Ag: 0.625 0.125 0.125
Ag: 0.125 0.125 0.125
Ag: 0.125 0.125 0.625
Ag: 0.125 0.625 0.125
Se: 0.500 0.500 0.500
Se: 0.750 0.750 0.750

- Raw formation energy: 0.892 eV/f.u.
- Magnetization: 0.00 Bohr magnetons per cell
- Total energy: -2.7650 eV per atom
- Volume: 20.25 A^3/atom


Here is an optimized crystal structure of CoC2S from the Alexandria database. Energies are from PBE.

Lattice parameters (Å, degrees): 4.344 4.344 5.132 64.96 64.96 90.00
Element x y z (fractional)
Co: 0.750 0.250 0.500
Co: 0.000 0.000 0.000
S: 0.250 0.750 0.500
S: 0.500 0.500 0.000
C: 0.603 0.125 0.250
C: 0.875 0.853 0.750
C: 0.375 0.397 0.750
C: 0.147 0.625 0.250

- Raw formation energy: 4.153 eV/f.u.
- Magnetization: 0.00 Bohr magnetons per cell
- Total energy: -6.3820 eV per atom
- Volume: 9.70 A^3/atom


Here is an optimized crystal structure of TaCrTcMo from the Alexandria database. Energies are from PBE.

Lattice parameters (Å, degrees): 4.399 4.399 4.399 60.00 60.00 60.00
Element x y z (fractional)
Cr: 0.250 0.250 0.250
Tc: 0.750 0.750 0.750
Ta: 0.500 0.500 0.500
Mo: 0.000 0.000 0.000

- Magnetization: 0.00 Bohr magnetons per cell
- Total energy: -10.7831 eV per atom
- Volume: 15.05 A^3/atom